[1]
# BaYRe2, single point on PBEsol structure, DFT SCAN
data_BaYRe2
_chemical_formula_sum 'Ba4 Y4 Re8'
_cell_length_a 7.0038
_cell_length_b 7.0038
_cell_length_c 7.0038
_cell_angle_alpha 90.00
_cell_angle_beta 90.00
_cell_angle_gamma 90.00
_space_group_name_H-M_alt 'F m -3 m'
_space_group_IT_number 225
_space_group_name_Hall '-F 4 2 3'
loop_
_atom_site_label
_atom_site_fract_x
_atom_site_fract_y
_atom_site_fract_z
_atom_site_occupancy
Ba1 0.0000 0.0000 0.0000 1
Y1 0.0000 0.0000 0.5000 1
Re1 0.2500 0.2500 0.2500 1
# Energy relative to the elements, eV/atom: 1.449

***

[2]
# Zr3RhW, single point on PBEsol structure, DFT SCAN
data_Zr3RhW
_chemical_formula_sum 'Zr3 Rh1 W1'
_cell_length_a 4.9300
_cell_length_b 4.9300
_cell_length_c 4.9300
_cell_angle_alpha 90.00
_cell_angle_beta 90.00
_cell_angle_gamma 90.00
_space_group_name_H-M_alt 'P m -3 m'
_space_group_IT_number 221
_space_group_name_Hall '-P 4 2 3'
loop_
_atom_site_label
_atom_site_fract_x
_atom_site_fract_y
_atom_site_fract_z
_atom_site_occupancy
Zr1 0.0000 0.0000 0.5000 1
Rh1 0.5000 0.5000 0.5000 1
W1 0.0000 0.0000 0.0000 1
# Energy relative to the elements, eV/atom: 0.956

***

[3]
# K5Na3Ta3Nb5O24, single point on PBEsol structure, DFT SCAN
data_K5Na3Ta3Nb5O24
_chemical_formula_sum 'K5 Na3 Ta3 Nb5 O24'
_cell_length_a 7.9797
_cell_length_b 8.0023
_cell_length_c 8.0100
_cell_angle_alpha 89.89
_cell_angle_beta 89.94
_cell_angle_gamma 89.93
_space_group_name_H-M_alt 'P 1'
_space_group_IT_number 1
loop_
_space_group_symop_operation_xyz
'x,y,z'
loop_
_atom_site_label
_atom_site_fract_x
_atom_site_fract_y
_atom_site_fract_z
_atom_site_occupancy
K1 0.0000 0.0000 0.0000 1
K2 0.0005 0.9997 0.4993 1
K3 0.0000 0.4999 0.9995 1
K4 0.0009 0.5006 0.4998 1
K5 0.4995 0.5000 0.9997 1
Na1 0.5050 0.5124 0.5146 1
Na2 0.5063 0.0114 0.5139 1
Na3 0.5080 0.0117 0.0132 1
Ta1 0.2513 0.2525 0.7525 1
Ta2 0.7486 0.2505 0.7526 1
Ta3 0.7502 0.7518 0.7524 1
Nb1 0.2535 0.7543 0.7550 1
Nb2 0.2567 0.2545 0.2542 1
Nb3 0.2566 0.7559 0.2561 1
Nb4 0.7530 0.2557 0.2545 1
Nb5 0.7528 0.7563 0.2537 1
O1 0.2459 0.9943 0.2428 1
O2 0.2472 0.7451 0.9931 1
O3 0.2482 0.4937 0.2440 1
O4 0.2486 0.2423 0.9924 1
O5 0.2490 0.7430 0.4941 1
O6 0.2496 0.4937 0.7416 1
O7 0.2509 0.2425 0.4955 1
O8 0.2510 0.9964 0.7410 1
O9 0.4964 0.7445 0.2419 1
O10 0.4966 0.2363 0.2406 1
O11 0.4972 0.2435 0.7418 1
O12 0.4978 0.7433 0.7389 1
O13 0.7406 0.2428 0.4960 1
O14 0.7408 0.4944 0.2461 1
O15 0.7410 0.7447 0.4955 1
O16 0.7418 0.9949 0.2436 1
O17 0.7415 0.9957 0.7420 1
O18 0.7434 0.2425 0.9929 1
O19 0.7432 0.7468 0.9925 1
O20 0.7437 0.4952 0.7418 1
O21 0.9954 0.2438 0.2452 1
O22 0.9951 0.7428 0.2441 1
O23 0.9950 0.7463 0.7423 1
O24 0.9965 0.2445 0.7428 1
# Formation energy (no corrections), eV per atom: -2.7335

***

[4]
# RbSrO2F, single point on PBEsol structure, DFT SCAN
data_RbSrO2F
_chemical_formula_sum 'Rb1 Sr1 O2 F1'
_cell_length_a 4.3610
_cell_length_b 4.3610
_cell_length_c 4.7551
_cell_angle_alpha 90.00
_cell_angle_beta 90.00
_cell_angle_gamma 90.00
_space_group_name_H-M_alt 'P 4/m m m'
_space_group_IT_number 123
_space_group_name_Hall '-P 4 2'
loop_
_atom_site_label
_atom_site_fract_x
_atom_site_fract_y
_atom_site_fract_z
_atom_site_occupancy
Rb1 0.0000 0.0000 0.0000 1
Sr1 0.5000 0.5000 0.5000 1
O1 0.0000 0.5000 0.0000 1
F1 0.0000 0.0000 0.5000 1
# Formation energy (no corrections), eV per atom: -1.2181

***

[5]
# SrTc3Ir, single point on PBEsol structure, DFT SCAN
data_SrTc3Ir
_chemical_formula_sum 'Sr1 Tc3 Ir1'
_cell_length_a 4.5227
_cell_length_b 4.5227
_cell_length_c 4.5227
_cell_angle_alpha 90.00
_cell_angle_beta 90.00
_cell_angle_gamma 90.00
_space_group_name_H-M_alt 'P m -3 m'
_space_group_IT_number 221
_space_group_name_Hall '-P 4 2 3'
loop_
_atom_site_label
_atom_site_fract_x
_atom_site_fract_y
_atom_site_fract_z
_atom_site_occupancy
Sr1 0.0000 0.0000 0.0000 1
Tc1 0.0000 0.0000 0.5000 1
Ir1 0.5000 0.5000 0.5000 1
# Energy relative to the elements, eV/atom: 3.427

***

[6]
# MnCoOs2, single point on PBEsol structure, DFT SCAN
data_MnCoOs2
_chemical_formula_sum 'Mn1 Co1 Os2'
_cell_length_a 2.6313
_cell_length_b 3.6443
_cell_length_c 5.1432
_cell_angle_alpha 90.00
_cell_angle_beta 90.00
_cell_angle_gamma 90.00
_space_group_name_H-M_alt 'P m m 2'
_space_group_IT_number 25
loop_
_space_group_symop_operation_xyz
'x,y,z'
'-x,-y,z'
'-x,y,z'
'x,-y,z'
loop_
_atom_site_label
_atom_site_fract_x
_atom_site_fract_y
_atom_site_fract_z
_atom_site_occupancy
Mn1 0.0000 0.0000 0.0000 1
Co1 0.5000 0.5000 0.7677 1
Os1 0.0000 0.0000 0.5256 1
Os2 0.5000 0.5000 0.2526 1
# Energy relative to the elements, eV/atom: 0.101

***

[7]
# CdCoOs2, single point on PBEsol structure, DFT SCAN
data_CdCoOs2
_chemical_formula_sum 'Cd3 Co3 Os6'
_cell_length_a 2.7277
_cell_length_b 2.7277
_cell_length_c 26.5804
_cell_angle_alpha 90.00
_cell_angle_beta 90.00
_cell_angle_gamma 120.00
_space_group_name_H-M_alt 'R 3 m'
_space_group_IT_number 160
_space_group_name_Hall 'R 3 -2"'
loop_
_atom_site_label
_atom_site_fract_x
_atom_site_fract_y
_atom_site_fract_z
_atom_site_occupancy
Cd1 0.0000 0.0000 0.0000 1
Co1 0.0000 0.0000 0.2484 1
Os1 0.0000 0.0000 0.5065 1
Os2 0.0000 0.0000 0.7604 1
# Energy relative to the elements, eV/atom: 0.364

***

[8]
# MgFe4CuO8, single point on PBEsol structure, DFT SCAN
data_MgFe4CuO8
_chemical_formula_sum 'Mg2 Fe8 Cu2 O16'
_cell_length_a 10.1603
_cell_length_b 5.6278
_cell_length_c 5.7153
_cell_angle_alpha 90.00
_cell_angle_beta 123.27
_cell_angle_gamma 90.00
_space_group_name_H-M_alt 'C 1 2/m 1'
_space_group_IT_number 12
loop_
_space_group_symop_operation_xyz
'x,y,z'
'-x,-y,-z'
'-x,y,-z'
'x,-y,z'
'x+1/2,y+1/2,z'
'-x+1/2,-y+1/2,-z'
'-x+1/2,y+1/2,-z'
'x+1/2,-y+1/2,z'
loop_
_atom_site_label
_atom_site_fract_x
_atom_site_fract_y
_atom_site_fract_z
_atom_site_occupancy
Mg1 0.0000 0.0000 0.0000 1
Fe1 0.1100 0.5000 0.3686 1
Fe2 0.2500 0.2500 0.0000 1
Cu1 0.0000 0.0000 0.5000 1
O1 0.0259 0.2391 0.7633 1
O2 0.2314 0.5000 0.2068 1
O3 0.2447 0.0000 0.2250 1
# Formation energy (no corrections), eV per atom: -1.6986

***

[9]
# CsNa3Ge, single point on PBEsol structure, DFT SCAN
data_CsNa3Ge
_chemical_formula_sum 'Cs1 Na3 Ge1'
_cell_length_a 5.7749
_cell_length_b 5.7749
_cell_length_c 5.7749
_cell_angle_alpha 90.00
_cell_angle_beta 90.00
_cell_angle_gamma 90.00
_space_group_name_H-M_alt 'P m -3 m'
_space_group_IT_number 221
_space_group_name_Hall '-P 4 2 3'
loop_
_atom_site_label
_atom_site_fract_x
_atom_site_fract_y
_atom_site_fract_z
_atom_site_occupancy
Cs1 0.0000 0.0000 0.0000 1
Na1 0.0000 0.5000 0.5000 1
Ge1 0.5000 0.5000 0.5000 1
# Energy relative to the elements, eV/atom: -0.055

***

[10]
# La2Ni, single point on PBEsol structure, DFT SCAN
data_La2Ni
_chemical_formula_sum 'La6 Ni3'
_cell_length_a 7.3779
_cell_length_b 7.3779
_cell_length_c 4.8207
_cell_angle_alpha 90.00
_cell_angle_beta 90.00
_cell_angle_gamma 120.00
_space_group_name_H-M_alt 'P -6 2 m'
_space_group_IT_number 189
_space_group_name_Hall 'P -6 -2'
loop_
_atom_site_label
_atom_site_fract_x
_atom_site_fract_y
_atom_site_fract_z
_atom_site_occupancy
La1 0.0000 0.3901 0.0000 1
La2 0.0000 0.7192 0.5000 1
Ni1 0.0000 0.0000 0.0000 1
Ni2 0.3333 0.6667 0.5000 1
# Energy relative to the elements, eV/atom: -0.196

***

[11]
# K2FeSO, single point on PBEsol structure, DFT SCAN
data_K2FeSO
_chemical_formula_sum 'K2 Fe1 S1 O1'
_cell_length_a 5.8795
_cell_length_b 5.8795
_cell_length_c 4.1841
_cell_angle_alpha 90.00
_cell_angle_beta 90.00
_cell_angle_gamma 90.00
_space_group_name_H-M_alt 'P 4/m m m'
_space_group_IT_number 123
_space_group_name_Hall '-P 4 2'
loop_
_atom_site_label
_atom_site_fract_x
_atom_site_fract_y
_atom_site_fract_z
_atom_site_occupancy
K1 0.0000 0.5000 0.0000 1
Fe1 0.0000 0.0000 0.5000 1
S1 0.0000 0.0000 0.0000 1
O1 0.5000 0.5000 0.5000 1
# Formation energy (no corrections), eV per atom: -0.3325

***

[12]
# KCaIn2, single point on PBEsol structure, DFT SCAN
data_KCaIn2
_chemical_formula_sum 'K4 Ca4 In8'
_cell_length_a 7.8489
_cell_length_b 7.8489
_cell_length_c 7.8489
_cell_angle_alpha 90.00
_cell_angle_beta 90.00
_cell_angle_gamma 90.00
_space_group_name_H-M_alt 'F m -3 m'
_space_group_IT_number 225
_space_group_name_Hall '-F 4 2 3'
loop_
_atom_site_label
_atom_site_fract_x
_atom_site_fract_y
_atom_site_fract_z
_atom_site_occupancy
K1 0.0000 0.0000 0.0000 1
Ca1 0.0000 0.0000 0.5000 1
In1 0.2500 0.2500 0.2500 1
# Energy relative to the elements, eV/atom: -0.249

***

[13]
# LiSi2Ag, single point on PBEsol structure, DFT SCAN
data_LiSi2Ag
_chemical_formula_sum 'Li2 Si4 Ag2'
_cell_length_a 3.8807
_cell_length_b 3.8807
_cell_length_c 7.7883
_cell_angle_alpha 90.00
_cell_angle_beta 90.00
_cell_angle_gamma 90.00
_space_group_name_H-M_alt 'I -4 m 2'
_space_group_IT_number 119
_space_group_name_Hall 'I -4 -2'
loop_
_atom_site_label
_atom_site_fract_x
_atom_site_fract_y
_atom_site_fract_z
_atom_site_occupancy
Li1 0.0000 0.0000 0.0000 1
Si1 0.0000 0.0000 0.5000 1
Si2 0.0000 0.5000 0.2500 1
Ag1 0.0000 0.5000 0.7500 1
# Formation energy (no corrections), eV per atom: 0.1711

***

[14]
# MgSc3, single point on PBEsol structure, DFT SCAN
data_MgSc3
_chemical_formula_sum 'Mg2 Sc6'
_cell_length_a 3.2443
_cell_length_b 10.4077
_cell_length_c 5.4965
_cell_angle_alpha 90.00
_cell_angle_beta 90.00
_cell_angle_gamma 90.00
_space_group_name_H-M_alt 'I m m 2'
_space_group_IT_number 44
loop_
_space_group_symop_operation_xyz
'x,y,z'
'-x,-y,z'
'-x,y,z'
'x,-y,z'
'x+1/2,y+1/2,z+1/2'
'-x+1/2,-y+1/2,z+1/2'
'-x+1/2,y+1/2,z+1/2'
'x+1/2,-y+1/2,z+1/2'
loop_
_atom_site_label
_atom_site_fract_x
_atom_site_fract_y
_atom_site_fract_z
_atom_site_occupancy
Mg1 0.0000 0.0000 0.0000 1
Sc1 0.0000 0.2533 0.3387 1
Sc2 0.0000 0.5000 0.9882 1
# Energy relative to the elements, eV/atom: 0.023

***

[15]
# LiSbAu2, single point on PBEsol structure, DFT SCAN
data_LiSbAu2
_chemical_formula_sum 'Li2 Sb2 Au4'
_cell_length_a 5.8181
_cell_length_b 5.8318
_cell_length_c 4.9680
_cell_angle_alpha 90.00
_cell_angle_beta 121.62
_cell_angle_gamma 90.00
_space_group_name_H-M_alt 'C 1 2 1'
_space_group_IT_number 5
loop_
_space_group_symop_operation_xyz
'x,y,z'
'-x,y,-z'
'x+1/2,y+1/2,z'
'-x+1/2,y+1/2,-z'
loop_
_atom_site_label
_atom_site_fract_x
_atom_site_fract_y
_atom_site_fract_z
_atom_site_occupancy
Li1 0.0000 0.0000 0.0000 1
Sb1 0.0000 0.7406 0.5000 1
Au1 0.0000 0.2373 0.5000 1
Au2 0.0000 0.4951 0.0000 1
# Formation energy (no corrections), eV per atom: -0.3256

***

[16]
# LiMnVO4, single point on PBEsol structure, DFT SCAN
data_LiMnVO4
_chemical_formula_sum 'Li4 Mn4 V4 O16'
_cell_length_a 5.6940
_cell_length_b 5.7593
_cell_length_c 8.2488
_cell_angle_alpha 90.00
_cell_angle_beta 90.00
_cell_angle_gamma 90.00
_space_group_name_H-M_alt 'I m m a'
_space_group_IT_number 74
_space_group_name_Hall '-I 2b 2'
loop_
_atom_site_label
_atom_site_fract_x
_atom_site_fract_y
_atom_site_fract_z
_atom_site_occupancy
Li1 0.0000 0.2500 0.1272 1
Mn1 0.0000 0.0000 0.5000 1
V1 0.2500 0.2500 0.7500 1
O1 0.0000 0.0197 0.7329 1
O2 0.2274 0.2500 0.5145 1
# Formation energy (no corrections), eV per atom: -2.4238

***

[17]
# BaRe2Hg, single point on PBEsol structure, DFT SCAN
data_BaRe2Hg
_chemical_formula_sum 'Ba1 Re2 Hg1'
_cell_length_a 2.8299
_cell_length_b 2.8299
_cell_length_c 10.0317
_cell_angle_alpha 90.00
_cell_angle_beta 90.00
_cell_angle_gamma 90.00
_space_group_name_H-M_alt 'P 4/m m m'
_space_group_IT_number 123
_space_group_name_Hall '-P 4 2'
loop_
_atom_site_label
_atom_site_fract_x
_atom_site_fract_y
_atom_site_fract_z
_atom_site_occupancy
Ba1 0.0000 0.0000 0.0000 1
Re1 0.5000 0.5000 0.2835 1
Hg1 0.0000 0.0000 0.5000 1
# Energy relative to the elements, eV/atom: 1.506

***

[18]
# LiFe2Ru, single point on PBEsol structure, DFT SCAN
data_LiFe2Ru
_chemical_formula_sum 'Li1 Fe2 Ru1'
_cell_length_a 2.5052
_cell_length_b 3.7970
_cell_length_c 4.8734
_cell_angle_alpha 90.00
_cell_angle_beta 90.00
_cell_angle_gamma 90.00
_space_group_name_H-M_alt 'P m m m'
_space_group_IT_number 47
loop_
_space_group_symop_operation_xyz
'x,y,z'
'-x,-y,-z'
'-x,-y,z'
'x,y,-z'
'x,-y,-z'
'-x,y,z'
'-x,y,-z'
'x,-y,z'
loop_
_atom_site_label
_atom_site_fract_x
_atom_site_fract_y
_atom_site_fract_z
_atom_site_occupancy
Li1 0.0000 0.0000 0.0000 1
Fe1 0.5000 0.5000 0.2520 1
Ru1 0.0000 0.0000 0.5000 1
# Energy relative to the elements, eV/atom: 0.232

***

[19]
# IrNO2, single point on PBEsol structure, DFT SCAN
data_IrNO2
_chemical_formula_sum 'Ir4 N4 O8'
_cell_length_a 3.4489
_cell_length_b 3.4489
_cell_length_c 12.9144
_cell_angle_alpha 90.00
_cell_angle_beta 90.00
_cell_angle_gamma 90.00
_space_group_name_H-M_alt 'I -4 2 d'
_space_group_IT_number 122
_space_group_name_Hall 'I -4 2bw'
loop_
_atom_site_label
_atom_site_fract_x
_atom_site_fract_y
_atom_site_fract_z
_atom_site_occupancy
Ir1 0.0000 0.0000 0.0000 1
N1 0.0000 0.0000 0.5000 1
O1 0.2207 0.2500 0.1250 1
# Formation energy (no corrections), eV per atom: 1.3745

***

[20]
# LaInIr4, single point on PBEsol structure, DFT SCAN
data_LaInIr4
_chemical_formula_sum 'La4 In4 Ir16'
_cell_length_a 7.5317
_cell_length_b 7.5317
_cell_length_c 7.5317
_cell_angle_alpha 90.00
_cell_angle_beta 90.00
_cell_angle_gamma 90.00
_space_group_name_H-M_alt 'F -4 3 m'
_space_group_IT_number 216
_space_group_name_Hall 'F -4 2 3'
loop_
_atom_site_label
_atom_site_fract_x
_atom_site_fract_y
_atom_site_fract_z
_atom_site_occupancy
La1 0.0000 0.0000 0.0000 1
In1 0.2500 0.2500 0.7500 1
Ir1 0.1244 0.1244 0.3756 1
# Energy relative to the elements, eV/atom: -0.359

***

Number 1: density 11.6 g/cm³. Number 2: density 7.8 g/cm³. Number 3: density 5.4 g/cm³. Number 4: density 4.1 g/cm³. Number 5: density 10.3 g/cm³. Number 6: density 16.6 g/cm³. Number 7: density 16.0 g/cm³. Number 8: density 5.3 g/cm³. Number 9: density 2.4 g/cm³. Number 10: density 7.4 g/cm³. Number 11: density 2.1 g/cm³. Number 12: density 4.2 g/cm³. Number 13: density 4.8 g/cm³. Number 14: density 2.8 g/cm³. Number 15: density 12.1 g/cm³. Number 16: density 4.3 g/cm³. Number 17: density 14.7 g/cm³. Number 18: density 7.9 g/cm³. Number 19: density 10.3 g/cm³. Number 20: density 15.9 g/cm³.